A) Compound: PrEr8Tm2
Source: Alexandria
Functional: PBE
Structure: optimized geometry

Calculated values
- V (Å³/atom) = 32.2
- space group = Immm (71)
- total moment (μB per cell) = 0.00

Cell and atoms, written as POSCAR:
```
PrEr8Tm2
1.0
-4.948 1.414 -2.833
-3.173 -2.956 -8.120
-5.646 -7.856 -0.153
Pr Er Tm
1 8 2
direct
0.500 0.000 0.000
0.769 0.098 0.265
0.769 0.363 0.735
0.241 0.500 0.000
0.500 0.799 0.403
0.500 0.201 0.597
0.759 0.500 0.000
0.231 0.637 0.265
0.231 0.902 0.735
0.000 0.312 0.376
0.000 0.688 0.624
```

B) Compound: PrEr8Tm2
Source: Alexandria
Functional: PBE
Structure: optimized geometry

Calculated values
- V (Å³/atom) = 31.5
- space group = Immm (71)
- total moment (μB per cell) = 0.00

Cell and atoms, written as POSCAR:
```
PrEr8Tm2
1.0
5.195 0.000 -1.577
-0.987 7.310 -3.251
-0.017 -0.317 9.287
Pr Er Tm
1 8 2
direct
0.500 0.000 0.000
0.641 0.848 0.282
0.359 0.566 0.718
0.164 0.164 0.328
0.000 0.296 0.000
0.836 0.836 0.672
0.641 0.434 0.282
0.359 0.152 0.718
0.000 0.704 0.000
0.199 0.699 0.399
0.801 0.301 0.601
```

The winner here is B), beating the second structure by 34 meV per atom.

A) Compound: Pr4Er5Tm
Source: Alexandria
Functional: PBE
Structure: optimized geometry

Calculated values
- V (Å³/atom) = 34.1
- space group = P-1 (2)
- total moment (μB per cell) = 0.00

Cell and atoms, written as POSCAR:
```
Pr4Er5Tm
1.0
3.455 -0.011 -0.688
-0.064 11.320 -0.419
-0.039 0.335 8.721
Pr Er Tm
4 5 1
direct
0.654 0.250 0.321
0.966 0.250 0.935
0.346 0.750 0.679
0.034 0.750 0.065
0.172 0.547 0.346
0.170 0.953 0.345
0.830 0.047 0.655
0.500 0.500 0.000
0.828 0.453 0.654
0.500 0.000 0.000
```

B) Compound: Pr4Er5Tm
Source: Alexandria
Functional: PBE
Structure: optimized geometry

Calculated values
- V (Å³/atom) = 34.1
- space group = I4mm (107)
- total moment (μB per cell) = 0.00

Cell and atoms, written as POSCAR:
```
Pr4Er5Tm
1.0
-1.426 5.309 -2.222
-6.899 2.829 3.276
3.280 6.028 4.385
Pr Er Tm
4 5 1
direct
0.450 0.322 0.678
0.772 0.678 0.678
0.127 0.322 0.322
0.450 0.678 0.322
0.764 0.376 0.000
0.140 0.000 0.624
0.764 0.000 0.376
0.140 0.624 0.000
0.691 0.000 0.000
0.211 0.000 0.000
```

The winner here is A), beating the second structure by 38 meV per atom.

A) Compound: Pr6ErTm12
Source: Alexandria
Functional: PBE
Structure: optimized geometry

Calculated values
- V (Å³/atom) = 33.4
- space group = R-3m (166)
- total moment (μB per cell) = 0.03

Cell and atoms, written as POSCAR:
```
Pr6ErTm12
1.0
8.620 -0.154 -1.186
-1.339 8.517 -1.186
-0.134 -0.154 8.700
Pr Er Tm
6 1 12
direct
0.902 0.344 0.902
0.902 0.902 0.344
0.344 0.902 0.902
0.098 0.098 0.656
0.098 0.656 0.098
0.656 0.098 0.098
0.000 0.000 0.000
0.755 0.245 0.500
0.355 0.080 0.355
0.355 0.355 0.080
0.920 0.645 0.645
0.645 0.645 0.920
0.645 0.920 0.645
0.500 0.755 0.245
0.245 0.500 0.755
0.245 0.755 0.500
0.500 0.245 0.755
0.755 0.500 0.245
0.080 0.355 0.355
```

B) Compound: Pr6ErTm12
Source: Alexandria
Functional: PBE
Structure: optimized geometry

Calculated values
- V (Å³/atom) = 32.5
- space group = R-3m (166)
- total moment (μB per cell) = 0.00

Cell and atoms, written as POSCAR:
```
Pr6ErTm12
1.0
8.402 1.298 1.555
0.009 8.502 1.555
0.009 0.011 8.643
Pr Er Tm
6 1 12
direct
0.766 0.766 0.165
0.835 0.234 0.234
0.234 0.835 0.234
0.234 0.234 0.835
0.165 0.766 0.766
0.766 0.165 0.766
0.000 0.000 0.000
0.805 0.488 0.488
0.488 0.805 0.488
0.488 0.488 0.805
0.195 0.512 0.512
0.512 0.195 0.512
0.512 0.512 0.195
0.138 0.138 0.484
0.862 0.516 0.862
0.516 0.862 0.862
0.862 0.862 0.516
0.138 0.484 0.138
0.484 0.138 0.138
```

The winner here is B), beating the second structure by 95 meV per atom.